(1)
Here is CuAu5 at its PBEsol-relaxed geometry from the Alexandria database. Energies are from meta-GGA SCAN.

Unit cell a=2.8524 b=5.5029 c=6.7135 alpha=106.92 beta=90.00 gamma=105.02
Closest atoms and distances in Å follow each position.
Fractional positions:
Au  0.3344  0.6687  0.7027  2 Cu 2.67, 9 Au 2.80-2.94
Cu  0.7108  0.4217  0.9245  8 Au 2.67-2.75, 2 Cu 2.85
Au  0.3751  0.7502  0.2372  2 Cu 2.70, 8 Au 2.82-2.93
Au  0.6793  0.3586  0.3546  11 Au 2.79-3.09, 1 Cu 3.01
Au  0.0215  0.0431  0.0137  2 Cu 2.68, 9 Au 2.79-2.86
Au  0.0455  0.0910  0.6007  2 Cu 2.75, 10 Au 2.85-2.94

## Properties
- V: 16.17 Å³/atom
- E_form: -12 meV per atom


(2)
Here is CuAu2 at its PBEsol-relaxed geometry from the Alexandria database. Energies are from meta-GGA SCAN.

Unit cell a=2.8121 b=5.3455 c=6.5747 alpha=104.66 beta=90.00 gamma=105.25
Closest atoms and distances in Å follow each position.
Fractional positions:
Cu  0.7206  0.4412  0.9304  6 Au 2.65-2.75, 4 Cu 2.73-2.81
Au  0.3348  0.6697  0.6804  5 Cu 2.66-2.83, 7 Au 2.78-2.90
Cu  0.0526  0.1051  0.6124  8 Au 2.63-2.88, 4 Cu 2.73-2.81
Au  0.3801  0.7602  0.2632  4 Cu 2.75-2.88, 8 Au 2.80-2.90
Au  0.6612  0.3224  0.3523  3 Cu 2.68-2.99, 9 Au 2.79-2.85
Au  0.0174  0.0348  0.9948  3 Cu 2.63-2.65, 8 Au 2.78-2.90

## Properties
- V: 15.34 Å³/atom
- E_form: 0 meV per atom


(3)
Here is CuAu2 at its PBEsol-relaxed geometry from the Alexandria database. Energies are from meta-GGA SCAN.

Unit cell a=4.8159 b=4.9944 c=4.9944 alpha=76.56 beta=61.18 gamma=61.18
Closest atoms and distances in Å follow each position.
Fractional positions:
Au  0.6574  0.5000  0.1851  4 Cu 2.63, 3 Au 2.76-2.90
Au  0.1574  0.1851  0.5000  4 Cu 2.63, 3 Au 2.76-2.90
Cu  0.7500  0.0000  0.0000  2 Cu 2.41, 8 Au 2.63
Cu  0.2500  0.0000  0.0000  2 Cu 2.41, 8 Au 2.63
Au  0.8426  0.8149  0.5000  4 Cu 2.63, 3 Au 2.76-2.90
Au  0.3426  0.5000  0.8149  4 Cu 2.63, 3 Au 2.76-2.90

## Properties
- V: 15.37 Å³/atom
- E_form: 22 meV per atom


(4)
Here is Cu5Au4 at its PBEsol-relaxed geometry from the Alexandria database. Energies are from meta-GGA SCAN.

Unit cell a=3.8217 b=6.0329 c=6.0329 alpha=84.24 beta=71.53 gamma=71.53
Closest atoms and distances in Å follow each position.
Fractional positions:
Cu  0.6615  0.0000  0.6770  6 Cu 2.61-2.78, 6 Au 2.64-2.74
Cu  0.6615  0.6770  0.0000  6 Cu 2.61-2.78, 6 Au 2.64-2.74
Au  0.0000  0.6827  0.3173  7 Cu 2.57-2.74, 4 Au 2.83
Cu  0.3385  0.0000  0.3230  6 Cu 2.61-2.78, 6 Au 2.64-2.74
Au  0.6827  0.3173  0.3173  7 Cu 2.57-2.74, 4 Au 2.83
Cu  0.3385  0.3230  0.0000  6 Cu 2.61-2.78, 6 Au 2.64-2.74
Au  0.0000  0.3173  0.6827  7 Cu 2.57-2.74, 4 Au 2.83
Cu  0.0000  0.0000  0.0000  4 Au 2.57, 8 Cu 2.66
Au  0.3173  0.6827  0.6827  7 Cu 2.57-2.74, 4 Au 2.83

## Properties
- V: 13.90 Å³/atom
- E_form: -74 meV per atom


(5)
Here is CuAu2 at its PBEsol-relaxed geometry from the Alexandria database. Energies are from meta-GGA SCAN.

Unit cell a=3.9748 b=5.5446 c=8.2741 alpha=90.00 beta=90.00 gamma=90.00
Closest atoms and distances in Å follow each position.
Fractional positions:
Au  0.7500  0.4054  0.7346  5 Cu 2.67-2.88, 7 Au 2.78-2.85
Au  0.2500  0.1436  0.5764  5 Cu 2.68-2.79, 7 Au 2.79-2.85
Cu  0.2500  0.6412  0.5872  10 Au 2.67-2.88, 2 Cu 2.91
Au  0.7500  0.3564  0.0764  5 Cu 2.68-2.79, 7 Au 2.79-2.85
Cu  0.2500  0.1412  0.9128  10 Au 2.67-2.88, 2 Cu 2.91
Cu  0.7500  0.3588  0.4128  10 Au 2.67-2.88, 2 Cu 2.91
Au  0.7500  0.9054  0.7654  5 Cu 2.67-2.88, 7 Au 2.78-2.85
Au  0.2500  0.6436  0.9236  5 Cu 2.68-2.79, 7 Au 2.79-2.85
Au  0.2500  0.5946  0.2654  5 Cu 2.67-2.88, 7 Au 2.78-2.85
Au  0.7500  0.8564  0.4236  5 Cu 2.68-2.79, 7 Au 2.79-2.85
Au  0.2500  0.0946  0.2346  5 Cu 2.67-2.88, 7 Au 2.78-2.85
Cu  0.7500  0.8588  0.0872  10 Au 2.67-2.88, 2 Cu 2.91

## Properties
- V: 15.20 Å³/atom
- E_form: -55 meV per atom


(6)
Here is CuAu4 at its PBEsol-relaxed geometry from the Alexandria database. Energies are from meta-GGA SCAN.

Unit cell a=2.8589 b=2.8589 c=11.4304 alpha=82.82 beta=82.82 gamma=60.00
Closest atoms and distances in Å follow each position.
Fractional positions:
Cu  0.5000  0.5000  0.5000  6 Au 2.64, 6 Cu 2.86
Au  0.7018  0.7018  0.8945  12 Au 2.86-2.91
Au  0.8940  0.8940  0.3179  3 Cu 2.64, 9 Au 2.86-2.91
Au  0.1060  0.1060  0.6821  3 Cu 2.64, 9 Au 2.86-2.91
Au  0.2982  0.2982  0.1055  12 Au 2.86-2.91

## Properties
- V: 16.01 Å³/atom
- E_form: -12 meV per atom


Number 1: N(E_F) 1.82 states/eV/f.u., energy above the most stable polymorph in this dataset 22 meV per atom. Number 2: N(E_F) 0.94 states/eV/f.u., energy above the most stable polymorph in this dataset 70 meV per atom. Number 3: N(E_F) 0.88 states/eV/f.u., energy above the most stable polymorph in this dataset 92 meV per atom. Number 4: N(E_F) 2.54 states/eV/f.u., energy above the most stable polymorph in this dataset 0 meV per atom. Number 5: N(E_F) 0.97 states/eV/f.u., energy above the most stable polymorph in this dataset 15 meV per atom. Number 6: N(E_F) 1.68 states/eV/f.u., energy above the most stable polymorph in this dataset 30 meV per atom.